## a
Be2AlPd8: relaxed, GGA-PBE.

abc: 7.125 7.125 7.125
angles: 148.70 122.64 66.80
Fractional coordinates of all 11 atoms:
Be (0.198, 0.198, 0.000)
Be (0.802, 0.802, 0.000)
Al (0.500, 0.500, 0.000)
Pd (0.044, 0.334, 0.710)
Pd (0.188, 0.000, 0.188)
Pd (0.359, 0.859, 0.500)
Pd (0.375, 0.666, 0.710)
Pd (0.625, 0.334, 0.290)
Pd (0.641, 0.141, 0.500)
Pd (0.812, 0.000, 0.812)
Pd (0.956, 0.666, 0.290)

For the total moment, the calculation gives 0.000 Bohr magnetons per cell. Its space group is Immm.

=====

## b
Be2AlPd8: relaxed, GGA-PBE.

abc: 7.260 7.260 5.806
angles: 107.98 107.98 32.16
Fractional coordinates of all 11 atoms:
Be (0.188, 0.188, 0.192)
Be (0.812, 0.812, 0.808)
Al (0.500, 0.500, 0.500)
Pd (0.031, 0.031, 0.266)
Pd (0.192, 0.192, 0.804)
Pd (0.325, 0.325, 0.535)
Pd (0.402, 0.402, 0.023)
Pd (0.598, 0.598, 0.977)
Pd (0.675, 0.675, 0.465)
Pd (0.808, 0.808, 0.196)
Pd (0.969, 0.969, 0.734)

For the total moment, the calculation gives 0.000 Bohr magnetons per cell. Its space group is C2/m.

=====

Stability ranking, top entry: b; the second entry is 0.051 eV/atom less favorable.

=====

## a
BeAl2Pd8: relaxed, GGA-PBE.

abc: 7.716 7.716 5.507
angles: 101.39 101.39 30.15
Fractional coordinates of all 11 atoms:
Be (0.000, 0.000, 0.000)
Al (0.318, 0.318, 0.260)
Al (0.682, 0.682, 0.740)
Pd (0.096, 0.096, 0.467)
Pd (0.147, 0.147, 0.987)
Pd (0.287, 0.287, 0.688)
Pd (0.483, 0.483, 0.236)
Pd (0.517, 0.517, 0.764)
Pd (0.713, 0.713, 0.312)
Pd (0.853, 0.853, 0.013)
Pd (0.904, 0.904, 0.533)

For the total moment, the calculation gives 0.000 Bohr magnetons per cell. Its space group is C2/m.

=====

## b
BeAl2Pd8: relaxed, GGA-PBE.

abc: 6.932 6.932 6.932
angles: 145.89 117.59 73.08
Fractional coordinates of all 11 atoms:
Be (0.000, 0.000, 0.000)
Al (0.299, 0.299, 0.000)
Al (0.701, 0.701, 0.000)
Pd (0.120, 0.842, 0.278)
Pd (0.131, 0.631, 0.500)
Pd (0.317, 0.500, 0.817)
Pd (0.437, 0.158, 0.278)
Pd (0.563, 0.842, 0.722)
Pd (0.683, 0.500, 0.183)
Pd (0.869, 0.369, 0.500)
Pd (0.880, 0.158, 0.722)

For the total moment, the calculation gives 0.000 Bohr magnetons per cell. Its space group is Immm.

=====

Stability ranking, top entry: a; the second entry is 0.026 eV/atom less favorable.

=====

## a
BeAl3Pd: relaxed, GGA-PBE.

abc: 4.713 4.713 4.713
angles: 90.00 90.00 90.00
Fractional coordinates of all 5 atoms:
Be (0.000, 0.000, 0.000)
Al (0.000, 0.500, 0.500)
Al (0.500, 0.000, 0.500)
Al (0.500, 0.500, 0.000)
Pd (0.500, 0.500, 0.500)

For the total moment, the calculation gives 0.000 Bohr magnetons per cell. Its space group is Pm-3m.

=====

## b
BeAl3Pd: relaxed, GGA-PBE.

abc: 4.275 4.275 4.275
angles: 90.00 90.00 90.00
Fractional coordinates of all 5 atoms:
Be (0.000, 0.000, 0.000)
Al (0.000, 0.000, 0.500)
Al (0.000, 0.500, 0.000)
Al (0.500, 0.000, 0.000)
Pd (0.500, 0.500, 0.500)

For the total moment, the calculation gives 0.000 Bohr magnetons per cell. Its space group is Pm-3m.

=====

Stability ranking, top entry: b; the second entry is 0.173 eV/atom less favorable.

=====

## a
Pr2BeAl: relaxed, GGA-PBE.

abc: 3.626 3.626 7.439
angles: 90.00 90.00 90.00
Fractional coordinates of all 4 atoms:
Pr (0.000, 0.000, 0.232)
Pr (0.000, 0.000, 0.768)
Be (0.500, 0.500, 0.000)
Al (0.500, 0.500, 0.500)

For the total moment, the calculation gives 0.000 Bohr magnetons per cell. Its space group is P4/mmm.

=====

## b
Pr2BeAl: relaxed, GGA-PBE.

abc: 11.107 11.107 11.107
angles: 17.85 17.85 17.85
Fractional coordinates of all 4 atoms:
Pr (0.092, 0.092, 0.092)
Pr (0.908, 0.908, 0.908)
Be (0.000, 0.000, 0.000)
Al (0.500, 0.500, 0.500)

For the total moment, the calculation gives 0.000 Bohr magnetons per cell. Its space group is R-3m.

=====

Stability ranking, top entry: a; the second entry is 0.685 eV/atom less favorable.

=====

## a
BeAl3Pt: relaxed, GGA-PBE.

abc: 4.255 4.255 4.255
angles: 90.00 90.00 90.00
Fractional coordinates of all 5 atoms:
Be (0.000, 0.000, 0.000)
Al (0.000, 0.000, 0.500)
Al (0.000, 0.500, 0.000)
Al (0.500, 0.000, 0.000)
Pt (0.500, 0.500, 0.500)

For the total moment, the calculation gives 0.000 Bohr magnetons per cell. Its space group is Pm-3m.

=====

## b
BeAl3Pt: relaxed, GGA-PBE.

abc: 4.760 4.760 4.760
angles: 90.00 90.00 90.00
Fractional coordinates of all 5 atoms:
Be (0.000, 0.000, 0.000)
Al (0.000, 0.500, 0.500)
Al (0.500, 0.000, 0.500)
Al (0.500, 0.500, 0.000)
Pt (0.500, 0.500, 0.500)

For the total moment, the calculation gives 0.000 Bohr magnetons per cell. Its space group is Pm-3m.

=====

Stability ranking, top entry: a; the second entry is 0.081 eV/atom less favorable.

=====

## a
BeAlRe: relaxed, GGA-PBE.

abc: 4.741 4.741 4.741
angles: 146.10 139.62 53.72
Fractional coordinates of all 3 atoms:
Be (0.000, 0.000, 0.000)
Al (0.324, 0.324, 0.000)
Re (0.640, 0.640, 0.000)

For the total moment, the calculation gives 0.000 Bohr magnetons per cell. Its space group is Imm2.

=====

## b
BeAlRe: relaxed, GGA-PBE.

abc: 4.906 4.906 6.288
angles: 124.56 124.56 39.69
Fractional coordinates of all 6 atoms:
Be (0.134, 0.134, 0.178)
Be (0.866, 0.866, 0.822)
Al (0.418, 0.418, 0.148)
Al (0.582, 0.582, 0.852)
Re (0.164, 0.164, 0.581)
Re (0.836, 0.836, 0.419)

For the total moment, the calculation gives 0.000 Bohr magnetons per cell. Its space group is C2/m.

=====

## c
BeAlRe: relaxed, GGA-PBE.

abc: 6.325 6.140 2.668
angles: 81.56 73.78 24.66
Fractional coordinates of all 3 atoms:
Be (0.000, 0.000, 0.000)
Al (0.668, 0.668, 0.332)
Re (0.348, 0.348, 0.652)

For the total moment, the calculation gives 0.000 Bohr magnetons per cell. Its space group is Fmm2.

=====

Stability ranking, top entry: a; the second entry is 0.058 eV/atom less favorable.

=====

## a
BeAlRe: relaxed, GGA-PBE.

abc: 4.057 4.057 4.057
angles: 60.00 60.00 60.00
Fractional coordinates of all 3 atoms:
Be (0.000, 0.000, 0.000)
Al (0.500, 0.500, 0.500)
Re (0.750, 0.750, 0.750)

For the total moment, the calculation gives 0.652 Bohr magnetons per cell. Its space group is F-43m.

=====

## b
BeAlRe: relaxed, GGA-PBE.

abc: 3.847 3.847 3.847
angles: 60.00 60.00 60.00
Fractional coordinates of all 3 atoms:
Be (0.000, 0.000, 0.000)
Al (0.250, 0.250, 0.250)
Re (0.750, 0.750, 0.750)

For the total moment, the calculation gives 0.000 Bohr magnetons per cell. Its space group is F-43m.

=====

## c
BeAlRe: relaxed, GGA-PBE.

abc: 4.092 4.092 2.621
angles: 90.00 90.00 120.00
Fractional coordinates of all 3 atoms:
Be (0.000, 0.000, 0.000)
Al (0.667, 0.333, 0.997)
Re (0.333, 0.667, 0.497)

For the total moment, the calculation gives 0.000 Bohr magnetons per cell. Its space group is P3m1.

=====

Stability ranking, top entry: c; the second entry is 0.403 eV/atom less favorable.

=====

## a
BeAlRe2: relaxed, GGA-PBE.

abc: 4.251 4.239 4.215
angles: 60.38 60.09 59.52
Fractional coordinates of all 4 atoms:
Be (0.000, 0.000, 0.000)
Al (0.750, 0.750, 0.750)
Re (0.250, 0.250, 0.250)
Re (0.500, 0.500, 0.500)

For the total moment, the calculation gives 0.000 Bohr magnetons per cell. Its space group is F222.

=====

## b
BeAlRe2: relaxed, GGA-PBE.

abc: 2.784 3.988 4.969
angles: 90.00 106.26 90.00
Fractional coordinates of all 4 atoms:
Be (0.000, 0.000, 0.000)
Al (0.869, 0.500, 0.749)
Re (0.245, 0.000, 0.501)
Re (0.608, 0.500, 0.221)

For the total moment, the calculation gives 0.000 Bohr magnetons per cell. Its space group is Pm.

=====

## c
BeAlRe2: relaxed, GGA-PBE.

abc: 3.088 4.098 4.287
angles: 90.00 90.00 90.00
Fractional coordinates of all 4 atoms:
Be (0.000, 0.000, 0.000)
Al (0.500, 0.000, 0.500)
Re (0.000, 0.500, 0.500)
Re (0.500, 0.500, 0.000)

For the total moment, the calculation gives 0.000 Bohr magnetons per cell. Its space group is Pmmm.

=====

Stability ranking, top entry: a; the second entry is 0.093 eV/atom less favorable.

=====

## a
BeAlRe2: relaxed, GGA-PBE.

abc: 2.667 4.065 5.088
angles: 90.00 100.36 90.00
Fractional coordinates of all 4 atoms:
Be (0.000, 0.000, 0.000)
Al (0.500, 0.000, 0.500)
Re (0.235, 0.500, 0.759)
Re (0.765, 0.500, 0.241)

For the total moment, the calculation gives 0.000 Bohr magnetons per cell. Its space group is P2/m.

=====

## b
BeAlRe2: relaxed, GGA-PBE.

abc: 4.871 4.871 2.665
angles: 100.37 100.37 114.28
Fractional coordinates of all 4 atoms:
Be (0.000, 0.000, 0.000)
Al (0.500, 0.500, 0.000)
Re (0.000, 0.500, 0.500)
Re (0.500, 0.000, 0.500)

For the total moment, the calculation gives 0.000 Bohr magnetons per cell. Its space group is C2/m.

=====

## c
BeAlRe2: relaxed, GGA-PBE.

abc: 4.849 4.849 4.359
angles: 116.52 116.52 36.53
Fractional coordinates of all 4 atoms:
Be (0.000, 0.000, 0.000)
Al (0.500, 0.500, 0.500)
Re (0.262, 0.262, 0.762)
Re (0.738, 0.738, 0.238)

For the total moment, the calculation gives 0.000 Bohr magnetons per cell. Its space group is C2/m.

=====

Stability ranking, top entry: c; the second entry is 0.040 eV/atom less favorable.

=====

## a
BeAlRe2: relaxed, GGA-PBE.

abc: 2.673 2.673 7.945
angles: 90.00 90.00 109.30
Fractional coordinates of all 4 atoms:
Be (0.000, 0.000, 0.000)
Al (0.000, 0.000, 0.500)
Re (0.500, 0.500, 0.234)
Re (0.500, 0.500, 0.766)

For the total moment, the calculation gives 0.000 Bohr magnetons per cell. Its space group is Cmmm.

=====

## b
BeAlRe2: relaxed, GGA-PBE.

abc: 4.683 4.683 2.702
angles: 90.00 90.00 112.63
Fractional coordinates of all 4 atoms:
Be (0.000, 0.000, 0.000)
Al (0.500, 0.500, 0.000)
Re (0.000, 0.500, 0.500)
Re (0.500, 0.000, 0.500)

For the total moment, the calculation gives 0.000 Bohr magnetons per cell. Its space group is Cmmm.

=====

Stability ranking, top entry: a; the second entry is 0.164 eV/atom less favorable.

=====

## a
BeAlRe2: relaxed, GGA-PBE.

abc: 9.215 9.215 9.215
angles: 156.75 156.75 33.12
Fractional coordinates of all 8 atoms:
Be (0.000, 0.000, 0.000)
Be (0.750, 0.250, 0.500)
Al (0.250, 0.750, 0.500)
Al (0.500, 0.500, 0.000)
Re (0.088, 0.625, 0.963)
Re (0.375, 0.338, 0.463)
Re (0.662, 0.125, 0.037)
Re (0.875, 0.912, 0.537)

For the total moment, the calculation gives 0.000 Bohr magnetons per cell. Its space group is I-42d.

=====

## b
BeAlRe2: relaxed, GGA-PBE.

abc: 4.867 4.867 4.202
angles: 115.34 115.34 36.18
Fractional coordinates of all 4 atoms:
Be (0.000, 0.000, 0.000)
Al (0.260, 0.260, 0.759)
Re (0.498, 0.498, 0.497)
Re (0.732, 0.732, 0.231)

For the total moment, the calculation gives 0.000 Bohr magnetons per cell. Its space group is Cm.

=====

## c
BeAlRe2: relaxed, GGA-PBE.

abc: 2.936 2.936 6.062
angles: 90.00 90.00 90.00
Fractional coordinates of all 4 atoms:
Be (0.000, 0.000, 0.000)
Al (0.000, 0.000, 0.500)
Re (0.500, 0.500, 0.209)
Re (0.500, 0.500, 0.791)

For the total moment, the calculation gives 0.000 Bohr magnetons per cell. Its space group is P4/mmm.

=====

Stability ranking, top entry: b; the second entry is 0.024 eV/atom less favorable.

=====

## a
BeAlRe2: relaxed, GGA-PBE.

abc: 4.201 4.201 4.201
angles: 60.00 60.00 60.00
Fractional coordinates of all 4 atoms:
Be (0.000, 0.000, 0.000)
Al (0.500, 0.500, 0.500)
Re (0.250, 0.250, 0.250)
Re (0.750, 0.750, 0.750)

For the total moment, the calculation gives 0.000 Bohr magnetons per cell. Its space group is Fm-3m.

=====

## b
BeAlRe2: relaxed, GGA-PBE.

abc: 3.718 3.718 3.940
angles: 90.00 90.00 90.00
Fractional coordinates of all 4 atoms:
Be (0.000, 0.000, 0.000)
Al (0.500, 0.500, 0.000)
Re (0.000, 0.500, 0.500)
Re (0.500, 0.000, 0.500)

For the total moment, the calculation gives 0.000 Bohr magnetons per cell. Its space group is P4/mmm.

=====

Stability ranking, top entry: b; the second entry is 0.019 eV/atom less favorable.